An optimized crystal structure of NdTm2Ni, computed with GGA-PBE.

```
NdTm2Ni
1.0
1.866 1.077 9.200
-1.866 1.077 9.200
0.000 -2.154 9.200
Nd Tm Ni
1 2 1
Direct
0.000 0.000 0.000
0.224 0.224 0.224
0.776 0.776 0.776
0.500 0.500 0.500
```

Values from the calculation:
Raw total energy, eV/cell: -19.95
ΔH_f (0 K), eV/f.u.: -0.45

---

An optimized crystal structure of Sc2CuS4, computed with GGA-PBE.

```
Sc2CuS4
1.0
6.520 0.000 0.000
0.000 5.245 0.000
-1.946 0.000 7.148
Sc Cu S
4 2 8
Direct
0.216 0.250 0.413
0.238 0.250 0.938
0.762 0.750 0.062
0.784 0.750 0.587
0.246 0.750 0.677
0.754 0.250 0.323
0.056 0.750 0.381
0.071 0.750 0.901
0.469 0.512 0.240
0.469 0.988 0.240
0.531 0.012 0.760
0.531 0.488 0.760
0.929 0.250 0.099
0.944 0.250 0.619
```

Values from the calculation:
Raw total energy, eV/cell: -83.58
E_form (uncorrected), kJ/mol of atoms: -117.48

---

An optimized crystal structure of MnNbCd2, computed with GGA-PBE.

```
MnNbCd2
1.0
-3.810 3.810 2.614
3.810 -3.810 2.614
3.810 3.810 -2.614
Mn Nb Cd
2 2 4
Direct
0.000 0.000 0.000
0.750 0.250 0.500
0.250 0.750 0.500
0.500 0.500 0.000
0.093 0.625 0.968
0.375 0.343 0.468
0.657 0.125 0.032
0.875 0.907 0.532
```

Values from the calculation:
Raw total energy, eV/cell: -34.79
ΔH_f (0 K), eV/f.u.: 3.68

---

An optimized crystal structure of SiAs3I, computed with GGA-PBE.

```
SiAs3I
1.0
5.323 0.000 0.000
0.000 5.323 0.000
0.000 0.000 5.323
Si As I
1 3 1
Direct
0.000 0.000 0.000
0.000 0.500 0.500
0.500 0.000 0.500
0.500 0.500 0.000
0.500 0.500 0.500
```

Values from the calculation:
Raw total energy, eV/cell: -13.06
E_form (uncorrected), kJ/mol of atoms: 151.62

---

An optimized crystal structure of ReBPC, computed with GGA-PBE.

```
ReBPC
1.0
2.895 0.000 0.000
0.000 2.991 0.000
0.000 0.000 5.354
Re B P C
1 1 1 1
Direct
0.000 0.000 0.000
0.500 0.500 0.389
0.500 0.500 0.762
0.000 0.500 0.283
```

Values from the calculation:
Raw total energy, eV/cell: -33.02
ΔH_f (0 K), eV/f.u.: 0.74

---

The lowest raw total energy belongs to which entry? Sc2CuS4

---

Repeat the third record exactly.
An optimized crystal structure of MnNbCd2, computed with GGA-PBE.

```
MnNbCd2
1.0
-3.810 3.810 2.614
3.810 -3.810 2.614
3.810 3.810 -2.614
Mn Nb Cd
2 2 4
Direct
0.000 0.000 0.000
0.750 0.250 0.500
0.250 0.750 0.500
0.500 0.500 0.000
0.093 0.625 0.968
0.375 0.343 0.468
0.657 0.125 0.032
0.875 0.907 0.532
```

Values from the calculation:
Raw total energy, eV/cell: -34.79
ΔH_f (0 K), eV/f.u.: 3.68